## NaS (PBE)

Data for a relaxed NaS crystal.

The structure in extended XYZ format:
```
8
Lattice="5.938 0.000 0.000 0.000 4.471 0.000 -3.310 0.000 7.008" Properties=species:S:1:pos:R:3 pbc="T T T"
Na 1.523 0.000 0.911
Na -0.132 2.235 4.415
Na 1.487 0.000 6.610
Na 3.142 2.235 3.106
S 1.300 0.000 3.662
S 2.955 2.235 0.158
S -0.663 0.000 2.728
S -2.318 2.235 6.232
```

Output
The value obtained for the polymorph energy (0 for the lowest one) is 0.12 eV/f.u. As for the energy relative to the elements, uncorrected: -0.772 eV per atom.